## NaTbCrF6 (PBE+U)

Data for a relaxed NaTbCrF6 crystal.

Results
VASP energy   -5.91 eV per atom
Space group   No. 163
Total magnetization   0.44 μB/atom

The structure in POSCAR format:
```
NaTbCrF6
1.0
5.797 0.000 0.000
-2.898 5.020 0.000
0.000 0.000 9.513
Na Tb Cr F
2 2 2 12
direct
0.000 0.000 0.000
0.000 0.000 0.500
0.333 0.667 0.250
0.667 0.333 0.750
0.333 0.667 0.750
0.667 0.333 0.250
0.010 0.357 0.634
0.010 0.653 0.866
0.347 0.357 0.866
0.347 0.990 0.634
0.357 0.010 0.134
0.357 0.347 0.366
0.643 0.653 0.634
0.643 0.990 0.866
0.653 0.010 0.366
0.653 0.643 0.134
0.990 0.347 0.134
0.990 0.643 0.366
```